Sc3RhSe | PBE | relaxed

Computed properties:
Energy relative to the elements, uncorrected   -216 meV per atom
Symmetry   No. 221
Energy above the lowest structure with this stoichiometry   0.2115 eV per atom
Fermi-level density of states   11.27 states/eV per cell

Lattice parameters (Å, degrees): 4.8896 4.8896 4.8896 90.00 90.00 90.00
Closest atoms and distances in Å follow each position.
Atoms (fractional coordinates):
Sc 0.0000 0.0000 0.5000  2 Se 2.44
Sc 0.0000 0.5000 0.0000  2 Se 2.44
Sc 0.5000 0.0000 0.0000  2 Se 2.44
Rh 0.5000 0.5000 0.5000  12 Sc 3.46
Se 0.0000 0.0000 0.0000  6 Sc 2.44

***

Ca12Ru3F5 | PBE | relaxed

Computed properties:
Energy relative to the elements, uncorrected   -1305 meV per atom
Symmetry   No. 230
Fermi-level density of states   51.54 states/eV per cell

Lattice parameters (Å, degrees): 13.5495 13.5495 13.5495 109.47 109.47 109.47
Closest atoms and distances in Å follow each position.
Atoms (fractional coordinates):
Ca 0.0320 0.2141 0.1293  1 F 2.32
Ca 0.0320 0.3178 0.9027  1 F 2.32
Ca 0.0849 0.7141 0.6822  1 F 2.32
Ca 0.0849 0.8707 0.4027  1 F 2.32
Ca 0.0973 0.6293 0.4151  1 F 2.32
Ca 0.0973 0.9680 0.6822  1 F 2.32
Ca 0.1293 0.0320 0.2141  1 F 2.32
Ca 0.1293 0.5973 0.9151  1 F 2.32
Ca 0.1822 0.2141 0.5849  1 F 2.32
Ca 0.1822 0.4680 0.5973  1 F 2.32
Ca 0.2141 0.1293 0.0320  1 F 2.32
Ca 0.2141 0.5849 0.1822  1 F 2.32
Ca 0.2859 0.3178 0.9151  1 F 2.32
Ca 0.2859 0.4680 0.3707  1 F 2.32
Ca 0.3178 0.9027 0.0320  1 F 2.32
Ca 0.3178 0.9151 0.2859  1 F 2.32
Ca 0.3707 0.2859 0.4680  1 F 2.32
Ca 0.3707 0.5849 0.9027  1 F 2.32
Ca 0.4027 0.0849 0.8707  1 F 2.32
Ca 0.4027 0.8178 0.5320  1 F 2.32
Ca 0.4151 0.0973 0.6293  1 F 2.32
Ca 0.4151 0.8178 0.7859  1 F 2.32
Ca 0.4680 0.3707 0.2859  1 F 2.32
Ca 0.4680 0.5973 0.1822  1 F 2.32
Ca 0.5320 0.4027 0.8178  1 F 2.32
Ca 0.5320 0.6293 0.7141  1 F 2.32
Ca 0.5849 0.1822 0.2141  1 F 2.32
Ca 0.5849 0.9027 0.3707  1 F 2.32
Ca 0.5973 0.1822 0.4680  1 F 2.32
Ca 0.5973 0.9151 0.1293  1 F 2.32
Ca 0.6293 0.4151 0.0973  1 F 2.32
Ca 0.6293 0.7141 0.5320  1 F 2.32
Ca 0.6822 0.0849 0.7141  1 F 2.32
Ca 0.6822 0.0973 0.9680  1 F 2.32
Ca 0.7141 0.5320 0.6293  1 F 2.32
Ca 0.7141 0.6822 0.0849  1 F 2.32
Ca 0.7859 0.4151 0.8178  1 F 2.32
Ca 0.7859 0.8707 0.9680  1 F 2.32
Ca 0.8178 0.5320 0.4027  1 F 2.32
Ca 0.8178 0.7859 0.4151  1 F 2.32
Ca 0.8707 0.4027 0.0849  1 F 2.32
Ca 0.8707 0.9680 0.7859  1 F 2.32
Ca 0.9027 0.0320 0.3178  1 F 2.32
Ca 0.9027 0.3707 0.5849  1 F 2.32
Ca 0.9151 0.1293 0.5973  1 F 2.32
Ca 0.9151 0.2859 0.3178  1 F 2.32
Ca 0.9680 0.6822 0.0973  1 F 2.32
Ca 0.9680 0.7859 0.8707  1 F 2.32
Ru 0.1250 0.2500 0.3750  8 Ca 2.94-3.06
Ru 0.1250 0.3750 0.7500  8 Ca 2.94-3.06
Ru 0.2500 0.3750 0.1250  8 Ca 2.94-3.06
Ru 0.2500 0.8750 0.6250  8 Ca 2.94-3.06
Ru 0.3750 0.1250 0.2500  8 Ca 2.94-3.06
Ru 0.3750 0.7500 0.1250  8 Ca 2.94-3.06
Ru 0.6250 0.2500 0.8750  8 Ca 2.94-3.06
Ru 0.6250 0.8750 0.7500  8 Ca 2.94-3.06
Ru 0.7500 0.1250 0.3750  8 Ca 2.94-3.06
Ru 0.7500 0.6250 0.8750  8 Ca 2.94-3.06
Ru 0.8750 0.6250 0.2500  8 Ca 2.94-3.06
Ru 0.8750 0.7500 0.6250  8 Ca 2.94-3.06
F 0.0000 0.0000 0.0000  6 Ca 2.63
F 0.0000 0.0000 0.5000  6 Ca 2.63
F 0.0000 0.5000 0.0000  6 Ca 2.63
F 0.0000 0.5000 0.5000  6 Ca 2.63
F 0.1250 0.7500 0.8750  4 Ca 2.32
F 0.1250 0.8750 0.2500  4 Ca 2.32
F 0.2500 0.1250 0.8750  4 Ca 2.32
F 0.2500 0.6250 0.3750  4 Ca 2.32
F 0.3750 0.2500 0.6250  4 Ca 2.32
F 0.3750 0.6250 0.7500  4 Ca 2.32
F 0.5000 0.0000 0.0000  6 Ca 2.63
F 0.5000 0.0000 0.5000  6 Ca 2.63
F 0.5000 0.5000 0.0000  6 Ca 2.63
F 0.5000 0.5000 0.5000  6 Ca 2.63
F 0.6250 0.3750 0.2500  4 Ca 2.32
F 0.6250 0.7500 0.3750  4 Ca 2.32
F 0.7500 0.3750 0.6250  4 Ca 2.32
F 0.7500 0.8750 0.1250  4 Ca 2.32
F 0.8750 0.1250 0.7500  4 Ca 2.32
F 0.8750 0.2500 0.1250  4 Ca 2.32

***

ErAlSi2 | PBE | relaxed

Computed properties:
Energy relative to the elements, uncorrected   -273 meV per atom
Symmetry   No. 166
Fermi-level density of states   6.07 states/eV per cell

Lattice parameters (Å, degrees): 4.2656 4.2656 14.2457 90.00 90.00 120.00
Closest atoms and distances in Å follow each position.
Atoms (fractional coordinates):
Er 0.0000 0.0000 0.0000  8 Si 3.00-3.04
Er 0.3333 0.6667 0.6667  8 Si 3.00-3.04
Er 0.6667 0.3333 0.3333  8 Si 3.00-3.04
Al 0.0000 0.0000 0.5000  6 Si 2.55
Al 0.3333 0.6667 0.1667  6 Si 2.55
Al 0.6667 0.3333 0.8333  6 Si 2.55
Si 0.0000 0.0000 0.2136  3 Al 2.55, 3 Si 2.80
Si 0.0000 0.0000 0.7864  3 Al 2.55, 3 Si 2.80
Si 0.3333 0.6667 0.4531  3 Al 2.55, 3 Si 2.80
Si 0.3333 0.6667 0.8803  3 Al 2.55, 3 Si 2.80
Si 0.6667 0.3333 0.1197  3 Al 2.55, 3 Si 2.80
Si 0.6667 0.3333 0.5469  3 Al 2.55, 3 Si 2.80

***

Rb3Ba2NpS6 | PBE | relaxed

Computed properties:
Energy relative to the elements, uncorrected   -1528 meV per atom
Symmetry   No. 12
Fermi-level density of states   8.14 states/eV per cell

Lattice parameters (Å, degrees): 7.7101 7.7101 8.0730 99.29 99.29 119.94
Closest atoms and distances in Å follow each position.
Atoms (fractional coordinates):
Rb 0.0000 0.0000 0.0000  4 S 3.32
Rb 0.3323 0.6677 0.0000  6 S 3.33-3.72
Rb 0.6677 0.3323 0.0000  6 S 3.33-3.72
Ba 0.1667 0.8333 0.5000  6 S 3.17-3.18
Ba 0.8333 0.1667 0.5000  6 S 3.17-3.18
Np 0.5000 0.5000 0.5000  6 S 2.66-2.67
S 0.1485 0.4332 0.3001  1 Np 2.67
S 0.2834 0.2834 0.6973  1 Np 2.66
S 0.4332 0.1485 0.3001  1 Np 2.67
S 0.5668 0.8515 0.6999  1 Np 2.67
S 0.7166 0.7166 0.3027  1 Np 2.66
S 0.8515 0.5668 0.6999  1 Np 2.67